Below is a relaxed structure of Mg2MoAs, with properties calculated at the PBE level.

a b c (Å): 2.849 4.650 5.599
angles (deg): 90.00 104.57 90.00
Fractional coordinates of all 4 atoms:
Mg  0.000  0.000  0.000
Mg  0.350  0.500  0.711
Mo  0.617  0.500  0.236
As  0.729  0.000  0.460

Properties
DFT total energy in eV per atom: -4.6191
Energy of formation from the pure elements in eV per formula unit: 0.2


Below is a relaxed structure of NaHg2Sb, with properties calculated at the PBE level.

a b c (Å): 10.912 10.912 10.912
angles (deg): 155.36 155.36 35.12
Fractional coordinates of all 8 atoms:
Na  0.000  0.000  0.000
Na  0.750  0.250  0.500
Hg  0.130  0.625  0.005
Hg  0.375  0.380  0.505
Hg  0.620  0.125  0.995
Hg  0.875  0.870  0.495
Sb  0.250  0.750  0.500
Sb  0.500  0.500  0.000

Properties
Formation energy without anion corrections in eV per atom: -0.06
DFT total energy in eV per atom: -1.5672


Below is a relaxed structure of Fe2Rh2Au, with properties calculated at the PBE level.

a b c (Å): 7.228 7.228 2.819
angles (deg): 90.00 90.00 90.00
Fractional coordinates of all 10 atoms:
Fe  0.140  0.360  0.000
Fe  0.360  0.860  0.000
Fe  0.640  0.140  0.000
Fe  0.860  0.640  0.000
Rh  0.154  0.654  0.500
Rh  0.346  0.154  0.500
Rh  0.654  0.846  0.500
Rh  0.846  0.346  0.500
Au  0.000  0.000  0.000
Au  0.500  0.500  0.000

Properties
DFT total energy in eV per atom: -6.8681
Energy of formation from the pure elements in eV per formula unit: 0.6


Below is a relaxed structure of PmY2TmS4, with properties calculated at the PBE level.

a b c (Å): 6.793 3.890 6.870
angles (deg): 90.00 108.97 90.00
Fractional coordinates of all 8 atoms:
Pm  0.000  0.000  0.000
Y  0.500  0.000  0.500
Y  0.500  0.500  0.000
Tm  0.000  0.500  0.500
S  0.248  0.000  0.741
S  0.255  0.500  0.260
S  0.745  0.500  0.740
S  0.752  0.000  0.259

Properties
Formation energy without anion corrections in eV per atom: -1.98
DFT total energy in eV per atom: -6.8142


Below is a relaxed structure of AlCdAg2Hg, with properties calculated at the PBE level.

a b c (Å): 5.295 5.295 5.304
angles (deg): 90.00 90.00 90.00
Fractional coordinates of all 5 atoms:
Al  0.000  0.000  0.000
Cd  0.500  0.500  0.000
Ag  0.000  0.500  0.500
Ag  0.500  0.000  0.500
Hg  0.500  0.500  0.500

Properties
DFT total energy in eV per atom: -1.4575
Energy of formation from the pure elements in eV per formula unit: 3.4


Below is a relaxed structure of K2Np3IrO12, with properties calculated at the PBE level.

a b c (Å): 7.506 7.506 7.506
angles (deg): 62.96 62.96 62.96
Fractional coordinates of all 18 atoms:
K  0.137  0.137  0.137
K  0.863  0.863  0.863
Np  0.000  0.500  0.500
Np  0.500  0.000  0.500
Np  0.500  0.500  0.000
Ir  0.500  0.500  0.500
O  0.177  0.177  0.561
O  0.177  0.561  0.177
O  0.194  0.561  0.561
O  0.439  0.439  0.806
O  0.439  0.806  0.439
O  0.439  0.823  0.823
O  0.561  0.177  0.177
O  0.561  0.194  0.561
O  0.561  0.561  0.194
O  0.806  0.439  0.439
O  0.823  0.439  0.823
O  0.823  0.823  0.439

Properties
Formation energy without anion corrections in eV per atom: -2.29
DFT total energy in eV per atom: -8.3700


Below is a relaxed structure of RbTiSi2S8, with properties calculated at the PBE level.

a b c (Å): 6.108 6.108 8.827
angles (deg): 90.00 90.00 120.00
Fractional coordinates of all 12 atoms:
Rb  0.000  0.000  0.000
Ti  0.000  0.000  0.500
Si  0.333  0.667  0.717
Si  0.667  0.333  0.283
S  0.007  0.668  0.351
S  0.332  0.339  0.351
S  0.333  0.667  0.956
S  0.339  0.007  0.649
S  0.661  0.993  0.351
S  0.667  0.333  0.044
S  0.668  0.661  0.649
S  0.993  0.332  0.649

Properties
Formation energy without anion corrections in eV per atom: -0.54
DFT total energy in eV per atom: -4.9378


Below is a relaxed structure of RbRhPb2, with properties calculated at the PBE level.

a b c (Å): 9.191 9.191 9.191
angles (deg): 137.71 137.71 61.35
Fractional coordinates of all 8 atoms:
Rb  0.000  0.000  0.000
Rb  0.750  0.250  0.500
Rh  0.250  0.750  0.500
Rh  0.500  0.500  0.000
Pb  0.343  0.625  0.218
Pb  0.375  0.593  0.718
Pb  0.407  0.125  0.782
Pb  0.875  0.657  0.282

Properties
DFT total energy in eV per atom: -3.8183
Energy of formation from the pure elements in eV per formula unit: 0.5


Below is a relaxed structure of Be3BiN, with properties calculated at the PBE level.

a b c (Å): 4.678 4.678 4.678
angles (deg): 90.00 90.00 90.00
Fractional coordinates of all 5 atoms:
Be  0.000  0.000  0.500
Be  0.000  0.500  0.000
Be  0.500  0.000  0.000
Bi  0.000  0.000  0.000
N  0.500  0.500  0.500

Properties
Formation energy without anion corrections in eV per atom: 2.35
DFT total energy in eV per atom: -2.3294


Below is a relaxed structure of BeGe2Pd2, with properties calculated at the PBE level.

a b c (Å): 6.226 6.226 3.944
angles (deg): 90.00 90.00 90.00
Fractional coordinates of all 10 atoms:
Be  0.000  0.000  0.000
Be  0.500  0.500  0.000
Ge  0.148  0.352  0.000
Ge  0.352  0.852  0.000
Ge  0.648  0.148  0.000
Ge  0.852  0.648  0.000
Pd  0.163  0.663  0.500
Pd  0.337  0.163  0.500
Pd  0.663  0.837  0.500
Pd  0.837  0.337  0.500

Properties
DFT total energy in eV per atom: -4.6605
Energy of formation from the pure elements in eV per formula unit: 0.0


Below is a relaxed structure of HfNbAs, with properties calculated at the PBE level.

a b c (Å): 5.283 5.283 7.389
angles (deg): 117.42 117.42 38.32
Fractional coordinates of all 6 atoms:
Hf  0.000  0.000  0.000
Hf  0.715  0.715  0.390
Nb  0.139  0.139  0.699
Nb  0.419  0.419  0.309
As  0.410  0.410  0.675
As  0.731  0.731  0.024

Properties
DFT total energy in eV per atom: -8.7655
Energy of formation from the pure elements in eV per formula unit: -1.6


Below is a relaxed structure of Li6Bi2Pb, with properties calculated at the PBE level.

a b c (Å): 8.156 8.156 3.355
angles (deg): 90.00 90.00 120.00
Fractional coordinates of all 9 atoms:
Li  0.000  0.297  0.000
Li  0.000  0.629  0.500
Li  0.297  0.000  0.000
Li  0.371  0.371  0.500
Li  0.629  0.000  0.500
Li  0.703  0.703  0.000
Bi  0.333  0.667  0.000
Bi  0.667  0.333  0.000
Pb  0.000  0.000  0.500

Properties
DFT total energy in eV per atom: -2.9311
Energy of formation from the pure elements in eV per formula unit: -3.4


Below is a relaxed structure of RhI2N, with properties calculated at the PBE level.

a b c (Å): 4.721 4.721 4.721
angles (deg): 60.00 60.00 60.00
Fractional coordinates of all 4 atoms:
Rh  0.000  0.000  0.000
I  0.250  0.250  0.250
I  0.750  0.750  0.750
N  0.500  0.500  0.500

Properties
Formation energy without anion corrections in eV per atom: 1.61
DFT total energy in eV per atom: -3.0833


Below is a relaxed structure of KYPb, with properties calculated at the PBE level.

a b c (Å): 5.324 5.324 9.139
angles (deg): 90.00 90.00 120.00
Fractional coordinates of all 6 atoms:
K  0.000  0.000  0.000
K  0.333  0.667  0.784
Y  0.000  0.000  0.485
Y  0.667  0.333  0.276
Pb  0.333  0.667  0.254
Pb  0.667  0.333  0.613

Properties
DFT total energy in eV per atom: -3.9542
Energy of formation from the pure elements in eV per formula unit: -0.6


Below is a relaxed structure of Sm6Te3C, with properties calculated at the PBE level.

a b c (Å): 9.449 9.449 7.161
angles (deg): 90.00 90.00 100.78
Fractional coordinates of all 20 atoms:
Sm  0.051  0.949  0.500
Sm  0.106  0.576  0.520
Sm  0.229  0.771  0.067
Sm  0.299  0.376  0.031
Sm  0.376  0.299  0.531
Sm  0.424  0.894  0.520
Sm  0.576  0.106  0.020
Sm  0.624  0.701  0.031
Sm  0.701  0.624  0.531
Sm  0.771  0.229  0.567
Sm  0.894  0.424  0.020
Sm  0.949  0.051  0.000
Te  0.071  0.266  0.329
Te  0.266  0.071  0.829
Te  0.397  0.603  0.731
Te  0.603  0.397  0.231
Te  0.734  0.929  0.329
Te  0.929  0.734  0.829
C  0.197  0.803  0.386
C  0.803  0.197  0.886

Properties
Formation energy without anion corrections in eV per atom: -0.73
DFT total energy in eV per atom: -5.4244


Below is a relaxed structure of Zr3FePd, with properties calculated at the PBE level.

a b c (Å): 4.766 4.766 4.766
angles (deg): 90.00 90.00 90.00
Fractional coordinates of all 5 atoms:
Zr  0.000  0.000  0.500
Zr  0.000  0.500  0.000
Zr  0.500  0.000  0.000
Fe  0.000  0.000  0.000
Pd  0.500  0.500  0.500

Properties
DFT total energy in eV per atom: -7.6808
Energy of formation from the pure elements in eV per formula unit: 0.9


Below is a relaxed structure of LaThCoPd, with properties calculated at the PBE level.

a b c (Å): 5.051 5.051 5.051
angles (deg): 60.00 60.00 60.00
Fractional coordinates of all 4 atoms:
La  0.000  0.000  0.000
Th  0.500  0.500  0.500
Co  0.250  0.250  0.250
Pd  0.750  0.750  0.750

Properties
DFT total energy in eV per atom: -6.4773
Energy of formation from the pure elements in eV per formula unit: -1.3


Below is a relaxed structure of Ti3TlSi2P6O25, with properties calculated at the PBE level.

a b c (Å): 8.425 8.425 17.343
angles (deg): 90.00 90.00 120.00
Fractional coordinates of all 74 atoms:
Ti  0.333  0.667  0.024
Ti  0.333  0.667  0.476
Ti  0.333  0.667  0.750
Ti  0.667  0.333  0.250
Ti  0.667  0.333  0.524
Ti  0.667  0.333  0.976
Tl  0.333  0.667  0.250
Tl  0.667  0.333  0.750
Si  0.000  0.000  0.092
Si  0.000  0.000  0.408
Si  0.000  0.000  0.592
Si  0.000  0.000  0.908
P  0.051  0.383  0.610
P  0.051  0.668  0.890
P  0.332  0.383  0.890
P  0.332  0.949  0.610
P  0.383  0.051  0.110
P  0.383  0.332  0.390
P  0.617  0.668  0.610
P  0.617  0.949  0.890
P  0.668  0.051  0.390
P  0.668  0.617  0.110
P  0.949  0.332  0.110
P  0.949  0.617  0.390
O  0.000  0.000  0.000
O  0.000  0.000  0.500
O  0.015  0.187  0.126
O  0.015  0.827  0.374
O  0.123  0.515  0.093
O  0.123  0.607  0.407
O  0.136  0.480  0.685
O  0.136  0.656  0.815
O  0.173  0.187  0.374
O  0.173  0.985  0.126
O  0.185  0.447  0.542
O  0.185  0.738  0.958
O  0.187  0.015  0.626
O  0.187  0.173  0.874
O  0.262  0.447  0.958
O  0.262  0.815  0.542
O  0.344  0.480  0.815
O  0.344  0.864  0.685
O  0.393  0.515  0.407
O  0.393  0.877  0.093
O  0.447  0.185  0.042
O  0.447  0.262  0.458
O  0.480  0.136  0.185
O  0.480  0.344  0.315
O  0.485  0.607  0.093
O  0.485  0.877  0.407
O  0.515  0.123  0.593
O  0.515  0.393  0.907
O  0.520  0.656  0.685
O  0.520  0.864  0.815
O  0.553  0.738  0.542
O  0.553  0.815  0.958
O  0.607  0.123  0.907
O  0.607  0.485  0.593
O  0.656  0.136  0.315
O  0.656  0.520  0.185
O  0.738  0.185  0.458
O  0.738  0.553  0.042
O  0.813  0.827  0.126
O  0.813  0.985  0.374
O  0.815  0.262  0.042
O  0.815  0.553  0.458
O  0.827  0.015  0.874
O  0.827  0.813  0.626
O  0.864  0.344  0.185
O  0.864  0.520  0.315
O  0.877  0.393  0.593
O  0.877  0.485  0.907
O  0.985  0.173  0.626
O  0.985  0.813  0.874

Properties
Formation energy without anion corrections in eV per atom: -2.47
DFT total energy in eV per atom: -7.6943